Entry 1:
Material: MnPtW
Method: DFT, PBE
State: optimized geometry

Cell lengths 4.816, 4.816, 4.816 Å; angles 147.09, 133.15, 58.43 degrees
Sites, in units of the cell vectors:
Mn 0.000 0.000 0.000
Pt 0.667 0.667 0.000
W 0.341 0.341 0.000

Results
Its total magnetization is 2.288 Bohr magnetons per cell. The energy of formation from the pure elements comes out at -96 meV/atom.

Entry 2:
Material: MnPt3W
Method: DFT, PBE
State: optimized geometry

Cell lengths 7.189, 7.189, 5.053 Å; angles 94.30, 94.30, 137.64 degrees
Sites, in units of the cell vectors:
Mn 0.065 0.935 0.750
Mn 0.935 0.065 0.250
Pt 0.079 0.407 0.695
Pt 0.407 0.079 0.195
Pt 0.500 0.500 0.000
Pt 0.500 0.500 0.500
Pt 0.593 0.921 0.805
Pt 0.921 0.593 0.305
W 0.324 0.676 0.250
W 0.676 0.324 0.750

Results
Its total magnetization is 7.377 Bohr magnetons per cell. The energy of formation from the pure elements comes out at 150 meV/atom.

Entry 3:
Material: MnPtW2
Method: DFT, PBE
State: optimized geometry

Cell lengths 2.722, 3.965, 5.504 Å; angles 90.00, 95.19, 90.00 degrees
Sites, in units of the cell vectors:
Mn 0.000 0.000 0.000
Pt 0.000 0.000 0.500
W 0.446 0.500 0.233
W 0.554 0.500 0.767

Results
Its total magnetization is 1.087 Bohr magnetons per cell. The energy of formation from the pure elements comes out at -16 meV/atom.